Entry 1:
Computed, not measured: an optimized crystal structure of Ce2PuGa2Cu2 at the PBE level of DFT.

Calculated values
As for the density of states at the Fermi level: 18.98 states/eV/f.u. The size of the total moment comes out at 6.4 μB per cell. As for the space group: No. 166. The total energy is -6.040 eV/atom. The calculation puts the energy of formation at -0.262 eV per atom.

abc: 4.3171 4.3171 9.2459
angles: 76.50 76.50 60.00
Fractional coordinates of all 7 atoms:
Ce 0.1387 0.1387 0.5838
Ce 0.8613 0.8613 0.4162
Pu 0.0000 0.0000 0.0000
Ga 0.7377 0.7377 0.7870
Ga 0.2623 0.2623 0.2130
Cu 0.5943 0.5943 0.2170
Cu 0.4057 0.4057 0.7830

Entry 2:
Computed, not measured: an optimized crystal structure of CePuGaCu at the PBE level of DFT.

Calculated values
As for the density of states at the Fermi level: 5.02 states/eV/f.u. The size of the total moment comes out at 7.8 μB per cell. As for the space group: No. 216. The total energy is -6.932 eV/atom. The calculation puts the energy of formation at -0.085 eV per atom. The polymorph energy (0 for the lowest one) is 0.000 eV/atom.

abc: 4.8916 4.8916 4.8916
angles: 60.00 60.00 60.00
Fractional coordinates of all 4 atoms:
Cu 0.2500 0.2500 0.2500
Ga 0.0000 0.0000 0.0000
Ce 0.7500 0.7500 0.7500
Pu 0.5000 0.5000 0.5000

Q: Which of these has the lowest size of the total moment?
A: Ce2PuGa2Cu2

Q: Among the records above, which one has the lowest energy of formation?
A: Ce2PuGa2Cu2